Material: KLaNiSbO6
Method: DFT, PBE with a Hubbard U
State: optimized geometry

Calculated values
- M_tot (μB per cell) = 4.1
- E (eV/atom) = -5.99
- DOS at the Fermi energy (states/eV/atom) = 0.658
- theoretical density (g/cm³) = 5.882

abc: 8.0062 8.0062 8.0062
angles: 90.00 90.00 90.00
Space group F-43m (No. 216)
One atom of each set of equivalent atoms:
K  0.0000  0.0000  0.0000 x4
La  0.0000  0.0000  0.5000 x4
Ni  0.2500  0.2500  0.2500 x4
Sb  0.2500  0.2500  0.7500 x4
O  0.0025  0.2500  0.7500 x24